1.
A plane-wave DFT calculation with PBE-GGA was carried out for LiRhSe2 after structural relaxation.

Structure (POSCAR):
```
LiRhSe2
1.0
5.1835 0.0000 0.0000
0.0000 3.0014 -0.0002
0.0000 0.0000 4.3342
Rh Se Li
1 2 1
direct
0.5000 0.8752 0.8374 Rh
0.5000 0.3752 0.3520 Se
0.0000 0.8750 0.9044 Se
0.0000 0.3746 0.4063 Li
```

## Properties
Raw formation energy   -0.4491 eV per atom
Space-group type   Pmm2

=====

2.
A plane-wave DFT calculation with PBE-GGA was carried out for LiMgMo after structural relaxation.

Structure (POSCAR):
```
LiMgMo
1.0
-1.8054 -0.7763 -2.0271
1.7212 -1.9108 1.1650
-5.1889 -1.5050 5.1978
Mg Li Mo
1 1 1
direct
0.3333 0.6667 0.3410 Mg
0.0000 0.0000 0.9904 Li
0.6667 0.3333 0.6686 Mo
```

## Properties
Energy of formation from the pure elements   340 meV/atom
Relative energy among the computed polymorphs   0.054 eV/atom
Space-group type   P3m1

=====

3.
A plane-wave DFT calculation with PBE-GGA was carried out for LuScCu2 after structural relaxation.

Structure (POSCAR):
```
LuScCu2
1.0
3.3249 0.0000 0.0000
0.0000 3.3249 0.0000
0.0000 0.0000 6.6425
Cu Lu Sc
2 1 1
direct
0.0000 0.0000 0.7678 Cu
0.0000 0.0000 0.2322 Cu
0.5000 0.5000 0.5000 Lu
0.5000 0.5000 0.0000 Sc
```

## Properties
Energy of formation from the pure elements   -287 meV/atom
Relative energy among the computed polymorphs   0.000 eV/atom
Space-group type   P4/mmm

=====

4.
A plane-wave DFT calculation with PBE-GGA was carried out for SrCaMg2 after structural relaxation.

Structure (POSCAR):
```
SrCaMg2
1.0
6.6751 -2.0463 3.2016
-2.4026 6.5553 -3.2016
0.6385 -4.8837 5.8937
Mg Sr Ca
2 1 1
direct
0.7569 0.0000 0.7569 Mg
0.2431 0.0000 0.2431 Mg
0.5000 0.0000 0.5000 Sr
0.0000 0.0000 0.0000 Ca
```

## Properties
Energy of formation from the pure elements   423 meV/atom
Space-group type   Immm

=====

5.
A plane-wave DFT calculation with PBE-GGA was carried out for Zr2Pt after structural relaxation.

Structure (POSCAR):
```
Zr2Pt
1.0
3.4378 0.0000 0.0000
0.0000 6.3104 0.0000
0.0000 0.0000 6.5837
Zr Pt
4 2
direct
0.5000 0.2890 0.8531 Zr
0.0000 0.7890 0.6469 Zr
0.5000 0.7110 0.1469 Zr
0.0000 0.2110 0.3531 Zr
0.0000 0.0000 0.0000 Pt
0.5000 0.5000 0.5000 Pt
```

## Properties
Energy of formation from the pure elements   -284 meV/atom
Space-group type   Pnnm

=====

6.
A plane-wave DFT calculation with PBE-GGA was carried out for Sn2PbAu2 after structural relaxation.

Structure (POSCAR):
```
Sn2PbAu2
1.0
-4.1471 -0.1225 -1.7848
0.8357 -4.1168 -1.6591
-3.8475 -4.6880 3.5472
Pb Sn Au
1 2 2
direct
0.0000 0.0000 0.0000 Pb
0.2500 0.7500 0.5000 Sn
0.7500 0.2500 0.5000 Sn
0.6081 0.6081 0.7837 Au
0.3919 0.3919 0.2163 Au
```

## Properties
Energy of formation from the pure elements   -51 meV/atom
Space-group type   I4/mmm

=====

7.
A plane-wave DFT calculation with PBE-GGA was carried out for In2SbP after structural relaxation.

Structure (POSCAR):
```
In2SbP
1.0
-1.2856 4.0426 -4.0872
-3.8802 -4.4101 0.4415
-2.2609 1.5621 1.6203
P In Sb
1 2 1
direct
0.5000 0.0000 0.5000 P
0.0000 0.0000 0.0000 In
0.5000 0.5000 0.0000 In
0.0000 0.5000 0.5000 Sb
```

## Properties
Raw formation energy   0.3236 eV per atom
Relative energy among the computed polymorphs   0.467 eV/atom
Space-group type   C2/m

=====

8.
A plane-wave DFT calculation with PBE-GGA was carried out for BaZr2Ru after structural relaxation.

Structure (POSCAR):
```
BaZr2Ru
1.0
-1.3164 3.5710 3.4163
-4.4161 -0.4031 2.5478
0.0203 -1.1069 4.9930
Zr Ba Ru
2 1 1
direct
0.2500 0.2500 0.2500 Zr
0.0000 0.0000 0.0000 Zr
0.5000 0.5000 0.5000 Ba
0.7500 0.7500 0.7500 Ru
```

## Properties
Energy of formation from the pure elements   679 meV/atom
Relative energy among the computed polymorphs   0.600 eV/atom
Space-group type   F-43m

=====

9.
A plane-wave DFT calculation with PBE-GGA was carried out for NaRu2Cl after structural relaxation.

Structure (POSCAR):
```
NaRu2Cl
1.0
0.0000 3.1217 3.1217
3.1217 0.0000 3.1217
3.1217 3.1217 0.0000
Ru Na Cl
2 1 1
direct
0.7500 0.7500 0.7500 Ru
0.2500 0.2500 0.2500 Ru
0.0000 0.0000 0.0000 Na
0.5000 0.5000 0.5000 Cl
```

## Properties
Raw formation energy   1.3119 eV per atom
Relative energy among the computed polymorphs   0.408 eV/atom
Space-group type   Fm-3m

=====

10.
A plane-wave DFT calculation with PBE-GGA was carried out for K2InW after structural relaxation.

Structure (POSCAR):
```
K2InW
1.0
4.7350 0.0000 0.0000
0.0000 3.0392 -0.1443
0.0000 0.4087 10.0440
W In K
1 1 2
direct
0.0000 0.3716 0.6025 W
0.5000 0.8721 0.6459 In
0.0000 0.8918 0.9265 K
0.5000 0.3645 0.3251 K
```

## Properties
Energy of formation from the pure elements   872 meV/atom
Space-group type   Pm

=====

11.
A plane-wave DFT calculation with PBE-GGA was carried out for Ac6AgIr2Rh after structural relaxation.

Structure (POSCAR):
```
Ac6AgIr2Rh
1.0
-1.8503 3.5926 6.4980
1.3502 -3.3586 6.7366
6.1932 3.0085 4.6022
Rh Ac Ir Ag
1 6 2 1
direct
0.3249 0.3251 0.0250 Rh
0.3798 0.7371 0.7543 Ac
0.9118 0.5951 0.2385 Ac
0.5956 0.2542 0.2383 Ac
0.2546 0.9117 0.2384 Ac
0.7360 0.1291 0.7548 Ac
0.1291 0.3799 0.7545 Ac
0.5088 0.5088 0.4735 Ir
0.0011 0.0011 0.9964 Ir
0.8198 0.8195 0.5414 Ag
```

## Properties
Energy of formation from the pure elements   -509 meV/atom
Space-group type   P1

=====

no.,uncorrected energy (eV/atom)
1,-4.51
2,-4.44
3,-5.05
4,-1.30
5,-8.00
6,-3.70
7,-3.43
8,-6.39
9,-4.12
10,-3.60
11,-5.77